! HfAsOsBr2 | Alexandria via LeMat-Bulk | PBE-GGA | optimized geometry; values from VASP
&SYSTEM
  ibrav = 0, nat = 5, ntyp = 4
/
ATOMIC_SPECIES
Br 79.90 Br.upf
Hf 178.49 Hf.upf
As 74.92 As.upf
Os 190.23 Os.upf
ATOMIC_POSITIONS crystal
Br 0.0000 0.5000 0.0000
Br 0.5000 0.0000 0.0000
Hf 0.0000 0.0000 0.0000
As 0.0000 0.0000 0.5000
Os 0.5000 0.5000 0.5000
CELL_PARAMETERS angstrom
5.1189 0.0000 0.0000
0.0000 5.1189 0.0000
0.0000 0.0000 5.3810
! - Calculated volume: 141.00 Å³ per cell
! - Formation energy without anion corrections: 0.940 eV per atom